# 1
Here is AlTcSN2 after structural relaxation from the Alexandria database. Energies are from GGA-PBE.

Cell: 3.810 3.810 5.116 Å, 90.00 90.00 90.00°
Fractional coordinates of all 5 atoms:
1 N 0.000 0.500 0.000
2 N 0.500 0.000 0.000
3 S 0.000 0.000 0.500
4 Tc 0.000 0.000 0.000
5 Al 0.500 0.500 0.500

Results
* mass density: 4.1 Mg/m³
* M_tot: 0.000 μB/atom
* formation energy from raw total energies: 206 kJ/mol of formula units


# 2
Here is FeTe after structural relaxation from the Alexandria database. Energies are from GGA-PBE.

Cell: 5.768 7.932 6.965 Å, 90.00 90.00 90.00°
Each line ends with the local moment (μB).
Fractional coordinates of all 16 atoms:
1 Fe 0.313 0.637 0.093  -1.44
2 Fe 0.187 0.363 0.593  -1.44
3 Fe 0.997 0.364 0.236  1.91
4 Fe 0.497 0.136 0.764  1.91
5 Fe 0.003 0.864 0.264  1.91
6 Fe 0.687 0.137 0.407  -1.44
7 Fe 0.813 0.863 0.907  -1.44
8 Fe 0.503 0.636 0.736  1.91
9 Te 0.259 0.362 0.938  0.00
10 Te 0.741 0.862 0.562  0.00
11 Te 0.754 0.388 0.610  -0.01
12 Te 0.254 0.112 0.390  -0.01
13 Te 0.746 0.612 0.110  -0.01
14 Te 0.759 0.138 0.062  0.00
15 Te 0.241 0.638 0.438  0.00
16 Te 0.246 0.888 0.890  -0.01

Results
* mass density: 7.6 Mg/m³
* M_tot: 0.107 μB/atom
* formation energy from raw total energies: 29 kJ/mol of formula units


# 3
Here is Er2GaCu4Ge3 after structural relaxation from the Alexandria database. Energies are from GGA-PBE.

Cell: 4.039 4.039 10.335 Å, 90.00 90.00 90.00°
Fractional coordinates of all 10 atoms:
1 Ge 0.000 0.500 0.134
2 Ge 0.500 0.000 0.866
3 Ge 0.000 0.000 0.500
4 Er 0.500 0.000 0.242
5 Er 0.000 0.500 0.758
6 Cu 0.500 0.000 0.639
7 Cu 0.000 0.000 0.000
8 Cu 0.000 0.500 0.361
9 Cu 0.500 0.500 0.000
10 Ga 0.500 0.500 0.500

Results
* mass density: 8.6 Mg/m³
* final energy: -4.707 eV/atom
* M_tot: 0.000 μB/atom


# 4
Here is TbNdGe after structural relaxation from the Alexandria database. Energies are from GGA-PBE.

Cell: 4.990 4.990 4.990 Å, 60.00 60.00 60.00°
Fractional coordinates of all 3 atoms:
1 Ge 0.250 0.250 0.250
2 Tb 0.000 0.000 0.000
3 Nd 0.500 0.500 0.500

Results
* mass density: 7.1 Mg/m³
* final energy: -5.204 eV/atom
* M_tot: 0.000 μB/atom


# 5
Here is TiHI2N after structural relaxation from the Alexandria database. Energies are from GGA-PBE.

Cell: 5.709 5.709 3.758 Å, 90.00 90.00 90.00°
Each line ends with the local moment (μB).
Fractional coordinates of all 5 atoms:
1 Ti 0.000 0.000 0.000  0.07
2 N 0.000 0.000 0.500  -0.24
3 I 0.500 0.000 0.000  -0.08
4 I 0.000 0.500 0.000  -0.08
5 H 0.500 0.500 0.500  0.36

Results
* mass density: 4.3 Mg/m³
* final energy: -4.256 eV/atom
* M_tot: 0.079 μB/atom


# 6
Here is EuGdBi after structural relaxation from the Alexandria database. Energies are from GGA-PBE.

Cell: 4.193 4.193 6.241 Å, 109.63 109.63 90.00°
Each line ends with the local moment (μB).
Fractional coordinates of all 3 atoms:
1 Eu 0.941 0.941 0.882  7.11
2 Bi 0.274 0.274 0.548  -0.08
3 Gd 0.635 0.635 0.271  7.51

Results
* mass density: 8.9 Mg/m³
* final energy: -9.984 eV/atom
* M_tot: 5.308 μB/atom


# 7
Here is LiY2Th3Se6 after structural relaxation from the Alexandria database. Energies are from GGA-PBE.

Cell: 4.009 8.511 9.396 Å, 108.15 102.32 90.00°
Fractional coordinates of all 12 atoms:
1 Se 0.670 0.574 0.340
2 Se 0.330 0.426 0.660
3 Se 0.344 0.914 0.688
4 Se 0.002 0.232 0.003
5 Se 0.656 0.086 0.312
6 Se 0.998 0.768 0.997
7 Th 0.169 0.835 0.338
8 Th 0.500 0.500 0.000
9 Th 0.831 0.165 0.662
10 Y 0.166 0.331 0.332
11 Y 0.834 0.669 0.668
12 Li 0.500 0.000 0.000

Results
* mass density: 7.6 Mg/m³
* M_tot: 0.000 μB/atom
* formation energy from raw total energies: -1861 kJ/mol of formula units


# 8
Here is KSnBi after structural relaxation from the Alexandria database. Energies are from GGA-PBE.

Cell: 5.077 5.296 5.296 Å, 120.00 90.00 90.00°
Fractional coordinates of all 3 atoms:
1 Sn 0.167 0.000 0.000
2 Bi 0.167 0.333 0.667
3 K 0.666 0.667 0.333

Results
* mass density: 4.9 Mg/m³
* final energy: -3.155 eV/atom
* M_tot: 0.000 μB/atom


# 9
Here is PuThTl6 after structural relaxation from the Alexandria database. Energies are from GGA-PBE.

Cell: 4.805 4.805 9.642 Å, 90.00 90.00 90.00°
Each line ends with the local moment (μB).
Fractional coordinates of all 8 atoms:
1 Tl 0.000 0.500 0.254  0.01
2 Tl 0.500 0.000 0.746  0.01
3 Tl 0.000 0.500 0.746  0.01
4 Tl 0.500 0.500 0.000  0.00
5 Tl 0.500 0.500 0.500  0.03
6 Tl 0.500 0.000 0.254  0.01
7 Pu 0.000 0.000 0.500  5.47
8 Th 0.000 0.000 0.000  0.04

Results
* mass density: 12.7 Mg/m³
* final energy: -4.590 eV/atom
* M_tot: 0.746 μB/atom


# 10
Here is OsRhS3 after structural relaxation from the Alexandria database. Energies are from GGA-PBE.

Cell: 4.577 4.577 4.577 Å, 90.00 90.00 90.00°
Each line ends with the local moment (μB).
Fractional coordinates of all 5 atoms:
1 S 0.500 0.000 0.000  0.05
2 S 0.000 0.000 0.500  0.10
3 S 0.000 0.500 0.000  0.14
4 Os 0.000 0.000 0.000  -0.24
5 Rh 0.500 0.500 0.500  1.21

Results
* mass density: 6.7 Mg/m³
* M_tot: 0.279 μB/atom
* formation energy from raw total energies: 468 kJ/mol of formula units


# 11
Here is TmMg2AlGe2 after structural relaxation from the Alexandria database. Energies are from GGA-PBE.

Cell: 4.119 6.904 8.530 Å, 90.00 90.00 90.00°
Fractional coordinates of all 12 atoms:
1 Ge 0.000 0.753 0.126
2 Ge 0.500 0.769 0.615
3 Ge 0.500 0.269 0.385
4 Ge 0.000 0.253 0.874
5 Mg 0.000 0.365 0.184
6 Mg 0.500 0.543 0.924
7 Mg 0.000 0.865 0.816
8 Mg 0.500 0.043 0.076
9 Tm 0.000 0.966 0.419
10 Tm 0.000 0.466 0.581
11 Al 0.500 0.649 0.313
12 Al 0.500 0.149 0.687

Results
* mass density: 5.3 Mg/m³
* final energy: -3.808 eV/atom
* M_tot: 0.000 μB/atom


# 12
Here is CuNiRh6 after structural relaxation from the Alexandria database. Energies are from GGA-PBE.

Cell: 3.783 4.654 7.099 Å, 77.28 74.55 66.02°
Each line ends with the local moment (μB).
Fractional coordinates of all 8 atoms:
1 Rh 0.250 0.374 0.125  0.09
2 Rh 0.250 0.876 0.625  0.16
3 Rh 0.750 0.124 0.375  0.16
4 Rh 0.499 0.256 0.746  0.18
5 Rh 0.501 0.744 0.254  0.18
6 Rh 0.750 0.626 0.875  0.09
7 Ni 0.000 0.500 0.500  0.66
8 Cu 0.000 0.000 0.000  0.05

Results
* mass density: 11.3 Mg/m³
* final energy: -6.713 eV/atom
* M_tot: 0.192 μB/atom


# 13
Here is SmCoI after structural relaxation from the Alexandria database. Energies are from GGA-PBE.

Cell: 4.037 4.037 12.731 Å, 90.13 99.00 119.99°
Each line ends with the local moment (μB).
Fractional coordinates of all 6 atoms:
1 Sm 0.901 0.449 0.350  -0.04
2 Sm 0.099 0.551 0.650  -0.04
3 I 0.549 0.277 0.826  0.00
4 I 0.451 0.723 0.174  0.00
5 Co 0.331 0.166 0.497  0.33
6 Co 0.669 0.834 0.503  0.33

Results
* mass density: 6.3 Mg/m³
* M_tot: 0.077 μB/atom
* formation energy from raw total energies: -221 kJ/mol of formula units


# 14
Here is Ta2BSe after structural relaxation from the Alexandria database. Energies are from GGA-PBE.

Cell: 4.344 4.344 4.344 Å, 60.00 60.00 60.00°
Fractional coordinates of all 4 atoms:
1 Ta 0.250 0.250 0.250
2 Ta 0.750 0.750 0.750
3 B 0.000 0.000 0.000
4 Se 0.500 0.500 0.500

Results
* mass density: 12.9 Mg/m³
* M_tot: 0.000 μB/atom
* formation energy from raw total energies: 68 kJ/mol of formula units


# 15
Here is CuPCl2F after structural relaxation from the Alexandria database. Energies are from GGA-PBE.

Cell: 4.537 4.537 4.618 Å, 90.00 90.00 90.00°
Fractional coordinates of all 5 atoms:
1 Cu 0.000 0.000 0.000
2 Cl 0.500 0.000 0.000
3 Cl 0.000 0.500 0.000
4 P 0.000 0.000 0.500
5 F 0.500 0.500 0.500

Results
* mass density: 3.2 Mg/m³
* M_tot: 0.000 μB/atom
* formation energy from raw total energies: 110 kJ/mol of formula units


# 16
Here is CoHgAs2 after structural relaxation from the Alexandria database. Energies are from GGA-PBE.

Cell: 10.184 10.184 10.184 Å, 163.91 163.89 22.84°
Each line ends with the local moment (μB).
Fractional coordinates of all 4 atoms:
1 Co 0.553 0.553 0.000  0.48
2 Hg 0.317 0.817 0.500  0.00
3 As 0.649 0.149 0.500  -0.01
4 As 0.982 0.982 0.000  -0.01

Results
* mass density: 8.4 Mg/m³
* final energy: -4.158 eV/atom
* M_tot: 0.112 μB/atom


# 17
Here is KNaAl2Br8 after structural relaxation from the Alexandria database. Energies are from GGA-PBE.

Cell: 6.944 6.944 10.802 Å, 71.25 71.25 60.00°
Fractional coordinates of all 12 atoms:
1 Br 0.829 0.829 0.513
2 Br 0.171 0.171 0.487
3 Br 0.943 0.580 0.183
4 Br 0.420 0.706 0.817
5 Br 0.706 0.057 0.817
6 Br 0.294 0.943 0.183
7 Br 0.580 0.294 0.183
8 Br 0.057 0.420 0.817
9 Al 0.752 0.752 0.745
10 Al 0.248 0.248 0.255
11 Na 0.000 0.000 0.000
12 K 0.500 0.500 0.500

Results
* mass density: 3.0 Mg/m³
* M_tot: 0.000 μB/atom
* formation energy from raw total energies: -1538 kJ/mol of formula units


# 18
Here is ScSi3Ni10 after structural relaxation from the Alexandria database. Energies are from GGA-PBE.

Cell: 7.943 7.943 7.943 Å, 60.00 60.00 60.00°
Fractional coordinates of all 28 atoms:
1 Ni 0.618 0.618 0.618
2 Ni 0.618 0.145 0.618
3 Ni 0.351 0.000 0.649
4 Ni 0.382 0.855 0.382
5 Ni 0.855 0.382 0.382
6 Ni 0.000 0.000 0.351
7 Ni 0.351 0.649 0.000
8 Ni 0.649 0.000 0.351
9 Ni 0.382 0.382 0.855
10 Ni 0.351 0.000 0.000
11 Ni 0.000 0.000 0.649
12 Ni 0.649 0.351 0.000
13 Ni 0.145 0.618 0.618
14 Ni 0.649 0.000 0.000
15 Ni 0.000 0.351 0.649
16 Ni 0.000 0.351 0.000
17 Ni 0.618 0.618 0.145
18 Ni 0.000 0.649 0.000
19 Ni 0.000 0.649 0.351
20 Ni 0.382 0.382 0.382
21 Sc 0.750 0.750 0.750
22 Sc 0.250 0.250 0.250
23 Si 0.734 0.266 0.734
24 Si 0.266 0.734 0.734
25 Si 0.266 0.734 0.266
26 Si 0.266 0.266 0.734
27 Si 0.734 0.266 0.266
28 Si 0.734 0.734 0.266

Results
* mass density: 6.7 Mg/m³
* M_tot: 0.000 μB/atom
* formation energy from raw total energies: -495 kJ/mol of formula units


# 19
Here is ErCuHgPb after structural relaxation from the Alexandria database. Energies are from GGA-PBE.

Cell: 5.061 5.061 5.061 Å, 60.00 60.00 60.00°
Fractional coordinates of all 4 atoms:
1 Pb 0.500 0.500 0.500
2 Cu 0.250 0.250 0.250
3 Er 0.000 0.000 0.000
4 Hg 0.750 0.750 0.750

Results
* mass density: 11.6 Mg/m³
* final energy: -3.286 eV/atom
* M_tot: 0.000 μB/atom


# 20
Here is HfTi2V2 after structural relaxation from the Alexandria database. Energies are from GGA-PBE.

Cell: 7.245 7.245 3.241 Å, 90.00 90.00 90.00°
Fractional coordinates of all 10 atoms:
1 Hf 0.500 0.500 0.000
2 Hf 0.000 0.000 0.000
3 Ti 0.674 0.826 0.500
4 Ti 0.826 0.326 0.500
5 Ti 0.174 0.674 0.500
6 Ti 0.326 0.174 0.500
7 V 0.619 0.119 0.000
8 V 0.381 0.881 0.000
9 V 0.881 0.619 0.000
10 V 0.119 0.381 0.000

Results
* mass density: 7.3 Mg/m³
* final energy: -8.617 eV/atom
* M_tot: 0.000 μB/atom